A) The following is a PBE-GGA calculation of crystalline NdTm3Hg2 at its relaxed geometry, from Alexandria.

abc: 5.060 7.137 9.221
angles: 90.00 90.00 90.00
Fractional coordinates of all 12 atoms:
Nd1 0.500 0.516 0.557
Nd2 0.500 0.016 0.443
Tm1 0.000 0.483 0.942
Tm2 0.000 0.983 0.058
Tm3 0.500 0.666 0.171
Tm4 0.500 0.166 0.829
Tm5 0.000 0.334 0.318
Tm6 0.000 0.834 0.682
Hg1 0.500 0.744 0.856
Hg2 0.500 0.244 0.144
Hg3 0.000 0.256 0.650
Hg4 0.000 0.756 0.350

Density of states at the Fermi level   2.97 states/eV/f.u.



B) The following is a PBE-GGA calculation of crystalline NdTm3Hg2 at its relaxed geometry, from Alexandria.

abc: 5.311 9.400 8.833
angles: 125.14 90.00 106.41
Last column: magnetic moment on the atom in μB.
Fractional coordinates of all 12 atoms:
Nd1 0.868 0.735 0.922  0.00
Nd2 0.132 0.265 0.078  0.00
Tm1 0.306 0.613 0.610  0.00
Tm2 0.936 0.871 0.595  0.06
Tm3 0.618 0.236 0.708  0.05
Tm4 0.382 0.764 0.292  0.05
Tm5 0.064 0.129 0.405  0.06
Tm6 0.694 0.387 0.390  0.00
Hg1 0.509 0.019 0.849  0.00
Hg2 0.491 0.981 0.151  0.00
Hg3 0.774 0.548 0.160  0.00
Hg4 0.226 0.452 0.840  0.00

Density of states at the Fermi level   5.29 states/eV/f.u.



The most stable of them is A).



A) The following is a PBE-GGA calculation of crystalline NdTm2Hg2 at its relaxed geometry, from Alexandria.

abc: 5.159 5.159 6.443
angles: 90.00 90.00 120.00
Fractional coordinates of all 5 atoms:
Nd1 0.000 0.000 0.000
Tm1 0.333 0.667 0.659
Tm2 0.667 0.333 0.341
Hg1 0.333 0.667 0.194
Hg2 0.667 0.333 0.806

Density of states at the Fermi level   6.48 states/eV/f.u.



B) The following is a PBE-GGA calculation of crystalline NdTm2Hg2 at its relaxed geometry, from Alexandria.

abc: 3.708 5.354 13.830
angles: 90.00 97.69 90.00
Fractional coordinates of all 10 atoms:
Nd1 0.852 0.750 0.707
Nd2 0.148 0.250 0.293
Tm1 0.049 0.750 0.096
Tm2 0.951 0.250 0.904
Tm3 0.236 0.750 0.473
Tm4 0.764 0.250 0.527
Hg1 0.645 0.750 0.289
Hg2 0.355 0.250 0.711
Hg3 0.456 0.750 0.912
Hg4 0.544 0.250 0.088

Density of states at the Fermi level   4.47 states/eV/f.u.



The most stable of them is B).